Below is crystalline CdPd2Pb2 at its relaxed geometry, with properties calculated at the PBE level.

The structure in POSCAR format:
```
CdPd2Pb2
1.0
7.4977 0.0000 0.0000
0.0000 7.4977 0.0000
0.0000 0.0000 3.9391
Cd Pd Pb
2 4 4
direct
0.0000 0.0000 0.0000
0.5000 0.5000 0.0000
0.1396 0.3604 0.0000
0.3604 0.8604 0.0000
0.6396 0.1396 0.0000
0.8604 0.6396 0.0000
0.1603 0.6603 0.5000
0.3397 0.1603 0.5000
0.6603 0.8397 0.5000
0.8397 0.3397 0.5000
```

Results
* energy relative to the lowest polymorph listed for this composition: 0.23 kcal/mol of atoms
* energy of formation from the pure elements: -0.204 eV per atom
* Fermi-level density of states: 0.52 states/eV per atom



Below is crystalline CaSi3Pd3 at its relaxed geometry, with properties calculated at the PBE level.

The structure in POSCAR format:
```
CaSi3Pd3
1.0
3.3846 1.9541 6.5015
-3.3846 1.9541 6.5015
0.0000 -3.9082 6.5015
Ca Si Pd
2 6 6
direct
0.1653 0.1653 0.1653
0.8347 0.8347 0.8347
0.0261 0.6146 0.2170
0.2170 0.0261 0.6146
0.3854 0.7830 0.9739
0.6146 0.2170 0.0261
0.7830 0.9739 0.3854
0.9739 0.3854 0.7830
0.1633 0.6592 0.4035
0.3408 0.5965 0.8367
0.4035 0.1633 0.6592
0.5965 0.8367 0.3408
0.6592 0.4035 0.1633
0.8367 0.3408 0.5965
```

Results
* energy relative to the lowest polymorph listed for this composition: 0.00 kcal/mol of atoms
* formation energy (no corrections): -422 meV per atom
* Fermi-level density of states: 0.63 states/eV per atom



Below is crystalline Na2PmNd3Se6 at its relaxed geometry, with properties calculated at the PBE level.

The structure in POSCAR format:
```
Na2PmNd3Se6
1.0
3.6610 -6.3356 0.0000
3.6610 6.3356 0.0000
-2.4337 0.0000 6.9354
Na Pm Nd Se
2 1 3 6
direct
0.1660 0.8340 0.0000
0.8340 0.1660 0.0000
0.5000 0.5000 0.0000
0.0000 0.0000 0.5000
0.3311 0.6689 0.5000
0.6689 0.3311 0.5000
0.0863 0.4173 0.7520
0.2537 0.2537 0.2519
0.4173 0.0863 0.7520
0.5827 0.9137 0.2480
0.7463 0.7463 0.7481
0.9137 0.5827 0.2480
```

Results
* formation energy (no corrections): -1737 meV per atom
* Fermi-level density of states: 0.27 states/eV per atom



How do the records compare in E? In the order shown, they have -3.948; -5.257; -5.287 eV/atom.